Below is a relaxed LiCa3Ho2Se6 crystal, with properties calculated at the PBE-GGA level.

The structure in POSCAR format:
```
LiCa3Ho2Se6
1.0
3.564 -6.169 0.000
3.564 6.169 0.000
-2.379 0.000 6.744
Li Ca Ho Se
1 3 2 6
Direct
0.000 0.000 0.000 Li
0.166 0.834 0.500 Ca
0.500 0.500 0.500 Ca
0.834 0.166 0.500 Ca
0.333 0.667 0.000 Ho
0.667 0.333 0.000 Ho
0.080 0.413 0.240 Se
0.253 0.253 0.761 Se
0.413 0.080 0.240 Se
0.587 0.920 0.760 Se
0.747 0.747 0.239 Se
0.920 0.587 0.760 Se
```

Calculated values
As for the calculated volume: 24.71 A^3/atom. Its density of states at the Fermi level is 3.51 states/eV per cell. Its total energy is -60.27 eV for the cell shown. The value obtained for the uncorrected formation energy is -179 kJ/mol of atoms.